Entry w
The following is a DFT calculation (PBE) of a relaxed Zn2Ga8Ag crystal.

Lattice parameters (Å, degrees): 4.138 6.470 8.270 110.16 94.81 101.58
Positions (direct):
Zn (0.218, 0.339, 0.472)
Zn (0.782, 0.661, 0.528)
Ga (0.073, 0.844, 0.070)
Ga (0.154, 0.591, 0.276)
Ga (0.285, 0.050, 0.642)
Ga (0.436, 0.756, 0.795)
Ga (0.564, 0.244, 0.205)
Ga (0.715, 0.950, 0.358)
Ga (0.846, 0.409, 0.724)
Ga (0.927, 0.156, 0.930)
Ag (0.500, 0.500, 0.000)

For the density of states at the Fermi level, the calculation gives 3.6 states/eV per cell.



Entry x
The following is a DFT calculation (PBE) of a relaxed Zn2Ga8Ag crystal.

Lattice parameters (Å, degrees): 6.852 6.852 4.819 98.72 98.72 74.95
Positions (direct):
Zn (0.128, 0.128, 0.057)
Zn (0.872, 0.872, 0.943)
Ga (0.220, 0.646, 0.721)
Ga (0.250, 0.250, 0.631)
Ga (0.354, 0.780, 0.279)
Ga (0.376, 0.376, 0.195)
Ga (0.624, 0.624, 0.805)
Ga (0.646, 0.220, 0.721)
Ga (0.750, 0.750, 0.369)
Ga (0.780, 0.354, 0.279)
Ag (0.000, 0.000, 0.500)

For the density of states at the Fermi level, the calculation gives 2.4 states/eV per cell.



Most stable to least stable, the ends of the list are entry w and entry x.